[1]
Computed, not measured: a relaxed ZrTl2Zn crystal at the GGA-PBE level of DFT.

Cell: 5.072 5.072 5.072 Å, 60.00 60.00 60.00°
Element x y z (fractional)
1 Zr 0.000 0.000 0.000
2 Tl 0.250 0.250 0.250
3 Tl 0.750 0.750 0.750
4 Zn 0.500 0.500 0.500

Calculated values
As for the crystal system: cubic. As for the distance to the lowest polymorph of the same formula: 30.4 kJ/mol of atoms. The value obtained for the formation energy is 7.31 kcal/mol of atoms.

---

[2]
Computed, not measured: a relaxed Zr2TlZn crystal at the GGA-PBE level of DFT.

Cell: 5.879 5.879 5.090 Å, 115.59 115.59 32.58°
Element x y z (fractional)
1 Zr 0.000 0.000 0.000
2 Zr 0.240 0.240 0.740
3 Tl 0.772 0.772 0.272
4 Zn 0.500 0.500 0.501

Calculated values
As for the crystal system: monoclinic. The value obtained for the formation energy is -2.10 kcal/mol of atoms.

---

[3]
Computed, not measured: a relaxed ZrTlZn crystal at the GGA-PBE level of DFT.

Cell: 4.733 4.733 4.733 Å, 60.00 60.00 60.00°
Element x y z (fractional)
1 Zr 0.000 0.000 0.000
2 Tl 0.250 0.250 0.250
3 Zn 0.750 0.750 0.750

Calculated values
As for the crystal system: cubic. As for the distance to the lowest polymorph of the same formula: 38.4 kJ/mol of atoms. The value obtained for the formation energy is 8.41 kcal/mol of atoms.

---

[4]
Computed, not measured: a relaxed ZrTl2Zn crystal at the GGA-PBE level of DFT.

Cell: 4.488 4.488 4.341 Å, 90.00 90.00 90.00°
Element x y z (fractional)
1 Zr 0.000 0.000 0.000
2 Tl 0.000 0.500 0.500
3 Tl 0.500 0.000 0.500
4 Zn 0.500 0.500 0.000

Calculated values
As for the crystal system: tetragonal. As for the distance to the lowest polymorph of the same formula: 0.0 kJ/mol of atoms. The value obtained for the formation energy is 0.04 kcal/mol of atoms.

---

[5]
Computed, not measured: a relaxed ZrTl2Zn crystal at the GGA-PBE level of DFT.

Cell: 6.029 6.029 5.264 Å, 113.17 113.17 31.96°
Element x y z (fractional)
1 Zr 0.000 0.000 0.000
2 Tl 0.247 0.247 0.890
3 Tl 0.478 0.478 0.495
4 Zn 0.718 0.718 0.373

Calculated values
As for the crystal system: monoclinic. As for the distance to the lowest polymorph of the same formula: 6.4 kJ/mol of atoms. The value obtained for the formation energy is 1.56 kcal/mol of atoms.

---

[6]
Computed, not measured: a relaxed ZrTlZn crystal at the GGA-PBE level of DFT.

Cell: 6.347 6.347 6.347 Å, 150.19 150.19 42.66°
Element x y z (fractional)
1 Zr 0.000 0.000 0.000
2 Tl 0.691 0.691 0.000
3 Zn 0.354 0.354 0.000

Calculated values
As for the crystal system: tetragonal. As for the distance to the lowest polymorph of the same formula: 2.1 kJ/mol of atoms. The value obtained for the formation energy is -0.26 kcal/mol of atoms.